Record 1
# PBE-GGA K2HfCuH6, relaxed
data_K2HfCuH6
_chemical_formula_sum 'K8 Hf4 Cu4 H24'
_cell_length_a 9.781
_cell_length_b 5.013
_cell_length_c 10.992
_cell_angle_alpha 90.00
_cell_angle_beta 90.00
_cell_angle_gamma 90.00
_space_group_name_H-M_alt 'P n m a'
_space_group_IT_number 62
_space_group_name_Hall '-P 2ac 2n'
loop_
_atom_site_label
_atom_site_fract_x
_atom_site_fract_y
_atom_site_fract_z
K1 0.069 0.250 0.158
K2 0.160 0.250 0.767
Hf1 0.086 0.750 0.518
Cu1 0.238 0.250 0.481
H1 0.049 0.019 0.385
H2 0.095 0.250 0.555
H3 0.159 0.750 0.685
H4 0.216 0.050 0.977
# uncorrected energy = -0.1384 hartree per atom
# M_tot = 0.336 μB/f.u.

***

Record 2
# PBE-GGA Sr2CuHgH6, relaxed
data_Sr2CuHgH6
_chemical_formula_sum 'Sr8 Cu4 Hg4 H24'
_cell_length_a 7.890
_cell_length_b 7.890
_cell_length_c 7.890
_cell_angle_alpha 90.00
_cell_angle_beta 90.00
_cell_angle_gamma 90.00
_space_group_name_H-M_alt 'F m -3 m'
_space_group_IT_number 225
_space_group_name_Hall '-F 4 2 3'
loop_
_atom_site_label
_atom_site_fract_x
_atom_site_fract_y
_atom_site_fract_z
Sr1 0.250 0.250 0.250
Cu1 0.000 0.000 0.000
Hg1 0.000 0.000 0.500
H1 0.000 0.000 0.218
# uncorrected energy = -0.1080 hartree per atom

***

Record 3
# PBE-GGA HoCu2H4, relaxed
data_HoCu2H4
_chemical_formula_sum 'Ho4 Cu8 H16'
_cell_length_a 7.758
_cell_length_b 8.308
_cell_length_c 5.495
_cell_angle_alpha 90.00
_cell_angle_beta 134.83
_cell_angle_gamma 90.00
_space_group_name_H-M_alt 'C 1 2/c 1'
_space_group_IT_number 15
_space_group_name_Hall '-C 2yc'
loop_
_atom_site_label
_atom_site_fract_x
_atom_site_fract_y
_atom_site_fract_z
Ho1 0.000 0.125 0.250
Cu1 0.000 0.500 0.000
Cu2 0.250 0.250 0.000
H1 0.164 0.326 0.217
H2 0.198 0.075 0.111
# uncorrected energy = -0.1395 hartree per atom
# M_tot = 0.000 μB/f.u.